No. 1
## MgAg2AsSe4 (PBE-GGA)

Data for a geometry-optimized MgAg2AsSe4 structure.

It has space group P1 (No. 1), with a = 6.1227 Å, b = 6.1231 Å, c = 7.2774 Å, α = 65.12°, β = 65.14° and γ = 90.00°. Symmetry generates all atoms from Mg at (0.0000, 0.0000, 0.0000), Ag at (0.2492, 0.7505, 0.4997), Ag at (0.5000, 0.5007, 0.9996), As at (0.7497, 0.2506, 0.4997), Se at (0.1087, 0.1307, 0.2543), Se at (0.3845, 0.8917, 0.7446), Se at (0.6359, 0.6160, 0.2547) and Se at (0.8699, 0.3639, 0.7450).

For the uncorrected formation energy, the calculation gives -0.316 eV/atom. As for the total DFT energy (no corrections): -3.5517 eV per atom.


No. 2
## Pr2Al2PdPt5 (PBE-GGA)

Data for a geometry-optimized Pr2Al2PdPt5 structure.

It has space group P4/mbm (No. 127), with a = 9.9325 Å, b = 9.9325 Å, c = 3.7500 Å, α = 90.00°, β = 90.00° and γ = 90.00°. Symmetry generates all atoms from Pr at (0.1802, 0.3198, 0.0000), Al at (0.1193, 0.6193, 0.0000), Pd at (0.0000, 0.0000, 0.0000), Pt at (0.0000, 0.5000, 0.5000) and Pt at (0.0607, 0.7922, 0.5000).

The formation energy from the elements comes out at -0.829 eV/atom. As for the total DFT energy (no corrections): -6.0730 eV per atom.


No. 3
## TaBe2Re (PBE-GGA)

Data for a geometry-optimized TaBe2Re structure.

It has space group Fm-3m (No. 225), with a = 5.8157 Å, b = 5.8157 Å, c = 5.8157 Å, α = 90.00°, β = 90.00° and γ = 90.00°. Symmetry generates all atoms from Ta at (0.0000, 0.0000, 0.0000), Be at (0.2500, 0.2500, 0.2500) and Re at (0.0000, 0.0000, 0.5000).

The formation energy from the elements comes out at 0.037 eV/atom. The calculation puts the offset from the most stable computed form at 1.68 eV per formula unit. As for the total DFT energy (no corrections): -7.9009 eV per atom.


No. 4
## K3YTm2S6 (PBE-GGA)

Data for a geometry-optimized K3YTm2S6 structure.

It has space group C2/m (No. 12), with a = 6.9596 Å, b = 12.0538 Å, c = 7.7191 Å, α = 90.00°, β = 107.49° and γ = 90.00°. Symmetry generates all atoms from K at (0.0000, 0.0000, 0.0000), K at (0.0000, 0.3338, 0.0000), Y at (0.0000, 0.5000, 0.5000), Tm at (0.0000, 0.1667, 0.5000), S at (0.2298, 0.0000, 0.7002) and S at (0.2352, 0.3315, 0.7002).

For the uncorrected formation energy, the calculation gives -1.890 eV/atom. As for the total DFT energy (no corrections): -5.5119 eV per atom.


No. 5
## Ba2CuSiBr (PBE-GGA)

Data for a geometry-optimized Ba2CuSiBr structure.

It has space group P4/mmm (No. 123), with a = 6.2389 Å, b = 6.2389 Å, c = 4.3545 Å, α = 90.00°, β = 90.00° and γ = 90.00°. Symmetry generates all atoms from Ba at (0.0000, 0.5000, 0.0000), Cu at (0.0000, 0.0000, 0.0000), Si at (0.0000, 0.0000, 0.5000) and Br at (0.5000, 0.5000, 0.5000).

For the uncorrected formation energy, the calculation gives -0.702 eV/atom. As for the total DFT energy (no corrections): -3.7098 eV per atom.


No. 6
## Rb4La3SmTe8 (PBE-GGA)

Data for a geometry-optimized Rb4La3SmTe8 structure.

It has space group R-3m (No. 166, hexagonal axes), with a = 9.4160 Å, b = 9.4160 Å, c = 25.6410 Å, α = 90.00°, β = 90.00° and γ = 120.00°. Symmetry generates all atoms from Rb at (0.0000, 0.0000, 0.0000), Rb at (0.0000, 0.5000, 0.0000), La at (0.0000, 0.5000, 0.5000), Sm at (0.0000, 0.0000, 0.5000), Te at (0.0000, 0.0000, 0.2358) and Te at (0.0060, 0.5030, 0.2350).

For the uncorrected formation energy, the calculation gives -1.469 eV/atom. As for the total DFT energy (no corrections): -4.5005 eV per atom.